TbPu2PaSe5 | GGA-PBE | relaxed

Summary:
V: 294.1 Å³/cell
Formation energy from raw total energies: -0.955 eV/atom
E_tot: -68.804 eV/cell
DOS at the Fermi energy: 23.836 states/eV/f.u.
Space group: No. 123

Cell: 5.2240 5.2240 10.7768 Å, 90.00 90.00 90.00°
Last column: magnetic moment on the atom in μB.
Fractional positions:
1 Se 0.0000 0.0000 0.7546  -0.04
2 Se 0.0000 0.5000 0.5000  -0.05
3 Se 0.5000 0.0000 0.5000  -0.05
4 Se 0.0000 0.0000 0.2454  -0.04
5 Se 0.5000 0.5000 0.0000  -0.03
6 Pu 0.5000 0.5000 0.6844  5.81
7 Pu 0.5000 0.5000 0.3156  5.81
8 Pa 0.0000 0.0000 0.5000  0.81
9 Tb 0.0000 0.0000 0.0000  0.14